Record 1
# PBE-GGA UPb2AuS5, relaxed
data_UPb2AuS5
_chemical_formula_sum 'U4 Pb8 Au4 S20'
_cell_length_a 4.039
_cell_length_b 17.560
_cell_length_c 12.861
_cell_angle_alpha 90.00
_cell_angle_beta 90.00
_cell_angle_gamma 90.00
_space_group_name_H-M_alt 'C m c 21'
_space_group_IT_number 36
loop_
_space_group_symop_operation_xyz
'x,y,z'
'-x,-y,z+1/2'
'-x,y,z'
'x,-y,z+1/2'
'x+1/2,y+1/2,z'
'-x+1/2,-y+1/2,z+1/2'
'-x+1/2,y+1/2,z'
'x+1/2,-y+1/2,z+1/2'
loop_
_atom_site_label
_atom_site_type_symbol
_atom_site_fract_x
_atom_site_fract_y
_atom_site_fract_z
U1 U 0.000 0.216 0.000
Pb1 Pb 0.000 0.097 0.621
Pb2 Pb 0.000 0.106 0.268
Au1 Au 0.000 0.424 0.410
S1 S 0.000 0.070 0.034
S2 S 0.000 0.268 0.635
S3 S 0.000 0.284 0.367
S4 S 0.000 0.365 0.974
S5 S 0.000 0.497 0.251
# Total DFT energy (no corrections) = -195.76 eV per cell

***

Record 2
# PBE-GGA Sb3Pb2Au4, relaxed
data_Sb3Pb2Au4
_chemical_formula_sum 'Sb12 Pb8 Au16'
_cell_length_a 7.996
_cell_length_b 15.484
_cell_length_c 7.342
_cell_angle_alpha 90.00
_cell_angle_beta 90.00
_cell_angle_gamma 90.00
_space_group_name_H-M_alt 'C m c e'
_space_group_IT_number 64
_space_group_name_Hall '-C 2ac 2'
loop_
_atom_site_label
_atom_site_type_symbol
_atom_site_fract_x
_atom_site_fract_y
_atom_site_fract_z
Sb1 Sb 0.000 0.000 0.000
Sb2 Sb 0.250 0.232 0.250
Pb1 Pb 0.000 0.101 0.587
Au1 Au 0.000 0.190 0.974
Au2 Au 0.250 0.049 0.250
# Energy relative to the lowest polymorph listed for this composition = 13 meV per atom

***

Record 3
# PBE-GGA Sb2PbAu2, relaxed
data_Sb2PbAu2
_chemical_formula_sum 'Sb4 Pb2 Au4'
_cell_length_a 4.513
_cell_length_b 4.513
_cell_length_c 12.795
_cell_angle_alpha 90.00
_cell_angle_beta 90.00
_cell_angle_gamma 90.00
_space_group_name_H-M_alt 'I 4/m m m'
_space_group_IT_number 139
_space_group_name_Hall '-I 4 2'
loop_
_atom_site_label
_atom_site_type_symbol
_atom_site_fract_x
_atom_site_fract_y
_atom_site_fract_z
Sb1 Sb 0.000 0.500 0.250
Pb1 Pb 0.000 0.000 0.000
Au1 Au 0.000 0.000 0.395
# Energy relative to the lowest polymorph listed for this composition = 0 meV per atom

***

Record 4
# PBE-GGA SbPbAu3, relaxed
data_SbPbAu3
_chemical_formula_sum 'Sb1 Pb1 Au3'
_cell_length_a 5.304
_cell_length_b 5.304
_cell_length_c 5.304
_cell_angle_alpha 90.00
_cell_angle_beta 90.00
_cell_angle_gamma 90.00
_space_group_name_H-M_alt 'P m -3 m'
_space_group_IT_number 221
_space_group_name_Hall '-P 4 2 3'
loop_
_atom_site_label
_atom_site_type_symbol
_atom_site_fract_x
_atom_site_fract_y
_atom_site_fract_z
Sb1 Sb 0.000 0.000 0.000
Pb1 Pb 0.500 0.500 0.500
Au1 Au 0.000 0.500 0.500
# Energy relative to the lowest polymorph listed for this composition = 814 meV per atom

***

Record 5
# PBE-GGA Sb3Pb12Au5, relaxed
data_Sb3Pb12Au5
_chemical_formula_sum 'Sb24 Pb96 Au40'
_cell_length_a 17.556
_cell_length_b 17.556
_cell_length_c 17.556
_cell_angle_alpha 90.00
_cell_angle_beta 90.00
_cell_angle_gamma 90.00
_space_group_name_H-M_alt 'I a -3 d'
_space_group_IT_number 230
_space_group_name_Hall '-I 4bd 2c 3'
loop_
_atom_site_label
_atom_site_type_symbol
_atom_site_fract_x
_atom_site_fract_y
_atom_site_fract_z
Sb1 Sb 0.000 0.250 0.125
Pb1 Pb 0.019 0.069 0.650
Au1 Au 0.000 0.000 0.000
Au2 Au 0.000 0.250 0.375
# Total DFT energy (no corrections) = -572.98 eV per cell

***

Record 6
# PBE-GGA Sb5Pb5Au2, relaxed
data_Sb5Pb5Au2
_chemical_formula_sum 'Sb10 Pb10 Au4'
_cell_length_a 14.708
_cell_length_b 4.458
_cell_length_c 12.521
_cell_angle_alpha 90.00
_cell_angle_beta 118.28
_cell_angle_gamma 90.00
_space_group_name_H-M_alt 'C 1 2/m 1'
_space_group_IT_number 12
loop_
_space_group_symop_operation_xyz
'x,y,z'
'-x,-y,-z'
'-x,y,-z'
'x,-y,z'
'x+1/2,y+1/2,z'
'-x+1/2,-y+1/2,-z'
'-x+1/2,y+1/2,-z'
'x+1/2,-y+1/2,z'
loop_
_atom_site_label
_atom_site_type_symbol
_atom_site_fract_x
_atom_site_fract_y
_atom_site_fract_z
Sb1 Sb 0.000 0.000 0.000
Sb2 Sb 0.029 0.000 0.777
Sb3 Sb 0.181 0.500 0.613
Pb1 Pb 0.000 0.000 0.500
Pb2 Pb 0.156 0.500 0.350
Pb3 Pb 0.182 0.500 0.067
Au1 Au 0.156 0.500 0.820
# Total DFT energy (no corrections) = -91.33 eV per cell